# 1
{
  "formula": "Ac2MgIn6Pt",
  "functional": "PBE",
  "state": "optimized geometry",
  "magnetic_moment_mub_per_cell": 0.00,
  "volume_a3_per_cell": 276,
  "final_energy_ev_per_atom": -3.651,
  "e_form_ev_per_atom": -0.423,
  "lattice_angstrom": [[6.2688, 0.0000, 0.0000], [0.0000, 7.1289, 0.0000], [0.0000, -3.5644, 6.1738]],
  "species": ["Ac", "Ac", "In", "In", "In", "In", "In", "In", "Pt", "Mg"],
  "fractional_positions": [[0.6847, 0.6667, 0.3333], [0.3153, 0.3333, 0.6667], [0.2043, 0.8073, 0.6147], [0.2043, 0.8073, 0.1927], [0.7957, 0.1927, 0.3853], [0.7957, 0.6147, 0.8073], [0.2043, 0.3853, 0.1927], [0.7957, 0.1927, 0.8073], [0.0000, 0.0000, 0.0000], [0.5000, 0.0000, 0.0000]]
}

***

# 2
{
  "formula": "BaAsSe2F",
  "functional": "PBE",
  "state": "optimized geometry",
  "magnetic_moment_mub_per_cell": 0.00,
  "de_polymorph_ev_per_atom": 0.000,
  "volume_a3_per_cell": 123,
  "raw_formation_energy_ev_per_atom": -0.726,
  "final_energy_ev_per_atom": -3.809,
  "lattice_angstrom": [[5.4775, 0.0000, 0.0000], [0.0000, 5.4775, 0.0000], [0.0000, 0.0000, 4.1112]],
  "species": ["Ba", "As", "Se", "Se", "F"],
  "fractional_positions": [[0.5000, 0.5000, 0.5000], [0.0000, 0.0000, 0.5000], [0.0000, 0.5000, 0.0000], [0.5000, 0.0000, 0.0000], [0.0000, 0.0000, 0.0000]]
}

***

# 3
{
  "formula": "PaGaAu2",
  "functional": "PBE",
  "state": "optimized geometry",
  "magnetic_moment_mub_per_cell": 0.00,
  "volume_a3_per_cell": 83,
  "final_energy_ev_per_atom": -5.166,
  "e_form_ev_per_atom": -0.397,
  "lattice_angstrom": [[4.8933, 0.0000, 0.0000], [2.4467, 4.2377, 0.0000], [2.4467, 1.4126, 3.9954]],
  "species": ["Pa", "Ga", "Au", "Au"],
  "fractional_positions": [[0.5000, 0.5000, 0.5000], [0.0000, 0.0000, 0.0000], [0.2500, 0.2500, 0.2500], [0.7500, 0.7500, 0.7500]]
}

***

# 4
{
  "formula": "Sc4Tl3H",
  "functional": "PBE",
  "state": "optimized geometry",
  "magnetic_moment_mub_per_cell": 0.00,
  "volume_a3_per_cell": 378,
  "final_energy_ev_per_atom": -4.567,
  "lattice_angstrom": [[-4.2217, -1.4284, 2.7516], [5.3297, -1.2868, 7.5093], [-1.1451, 7.3892, 2.0790]],
  "species": ["Sc", "Sc", "Sc", "Sc", "Sc", "Sc", "Sc", "Sc", "Tl", "Tl", "Tl", "Tl", "Tl", "Tl", "H", "H"],
  "fractional_positions": [[0.5851, 0.8391, 0.2917], [0.0791, 0.9245, 0.5000], [0.5847, 0.1315, 0.5000], [0.5851, 0.8391, 0.7083], [0.5791, 0.0755, 0.0000], [0.0847, 0.8685, 0.0000], [0.0851, 0.1609, 0.2083], [0.0851, 0.1609, 0.7917], [0.5768, 0.3655, 0.7844], [0.5768, 0.3655, 0.2156], [0.0768, 0.6345, 0.7156], [0.0711, 0.3615, 0.5000], [0.5711, 0.6385, 0.0000], [0.0768, 0.6345, 0.2844], [0.4565, 0.9306, 0.5000], [0.9565, 0.0694, 0.0000]]
}

***

# 5
{
  "formula": "Ag3Au8",
  "functional": "PBE",
  "state": "optimized geometry",
  "magnetic_moment_mub_per_cell": 0.00,
  "de_polymorph_ev_per_atom": 0.000,
  "volume_a3_per_cell": 198,
  "final_energy_ev_per_atom": -3.194,
  "e_form_ev_per_atom": -0.033,
  "lattice_angstrom": [[4.1509, 0.0000, 0.0000], [-2.0755, 4.5384, -1.0141], [0.0000, -0.5158, 10.6062]],
  "species": ["Au", "Au", "Au", "Au", "Au", "Au", "Au", "Au", "Ag", "Ag", "Ag"],
  "fractional_positions": [[0.1827, 0.3654, 0.2729], [0.8173, 0.6346, 0.7271], [0.4552, 0.9104, 0.1822], [0.5448, 0.0896, 0.8178], [0.3632, 0.7263, 0.5458], [0.7275, 0.4550, 0.0904], [0.2725, 0.5450, 0.9096], [0.6368, 0.2737, 0.4542], [0.0904, 0.1809, 0.6361], [0.0000, 0.0000, 0.0000], [0.9096, 0.8191, 0.3639]]
}

***

# 6
{
  "formula": "NiHgSb2",
  "functional": "PBE",
  "state": "optimized geometry",
  "magnetic_moment_mub_per_cell": 0.00,
  "volume_a3_per_cell": 91,
  "raw_formation_energy_ev_per_atom": 0.148,
  "final_energy_ev_per_atom": -3.434,
  "lattice_angstrom": [[8.9804, -0.0752, -0.0445], [8.3413, 3.3280, -0.0445], [8.3413, 1.5664, 2.9367]],
  "species": ["Sb", "Sb", "Hg", "Ni"],
  "fractional_positions": [[0.0202, 0.0202, 0.0202], [0.2501, 0.2501, 0.2501], [0.4836, 0.4836, 0.4836], [0.7461, 0.7461, 0.7461]]
}

***

# 7
{
  "formula": "AlReSiO2",
  "functional": "PBE",
  "state": "optimized geometry",
  "magnetic_moment_mub_per_cell": 0.00,
  "volume_a3_per_cell": 68,
  "raw_formation_energy_ev_per_atom": -0.322,
  "final_energy_ev_per_atom": -6.628,
  "lattice_angstrom": [[-0.1617, 3.4379, -0.0502], [-5.5487, -0.2837, -1.5519], [-0.9273, 0.0048, 3.3148]],
  "species": ["Si", "Al", "O", "O", "Re"],
  "fractional_positions": [[0.0000, 0.0000, 0.0000], [0.5000, 0.5000, 0.5000], [0.0000, 0.0000, 0.5000], [0.5000, 0.0000, 0.0000], [0.0000, 0.5000, 0.0000]]
}

***

# 8
{
  "formula": "Ba2FeRh",
  "functional": "PBE",
  "state": "optimized geometry",
  "magnetic_moment_mub_per_cell": 2.83,
  "de_polymorph_ev_per_atom": 0.378,
  "volume_a3_per_cell": 114,
  "final_energy_ev_per_atom": -4.396,
  "e_form_ev_per_atom": 0.519,
  "lattice_angstrom": [[-7.6391, -4.1093, 0.0506], [3.1325, 1.5926, -4.2866], [0.0620, -3.5042, -1.2566]],
  "species": ["Ba", "Ba", "Rh", "Fe"],
  "fractional_positions": [[0.0000, 0.0000, 0.0000], [0.5000, 0.0000, 0.5000], [0.5000, 0.5000, 0.0000], [0.0000, 0.5000, 0.5000]]
}

***

# 9
{
  "formula": "PrSmAgPd",
  "functional": "PBE",
  "state": "optimized geometry",
  "magnetic_moment_mub_per_cell": 0.00,
  "de_polymorph_ev_per_atom": 0.000,
  "volume_a3_per_cell": 103,
  "final_energy_ev_per_atom": -4.904,
  "e_form_ev_per_atom": -0.518,
  "lattice_angstrom": [[3.9001, 0.0000, 0.0000], [0.0000, 4.8015, 0.0000], [-1.9500, 0.0000, 5.5155]],
  "species": ["Pr", "Ag", "Pd", "Sm"],
  "fractional_positions": [[0.8592, 0.5000, 0.7185], [0.4206, 0.0000, 0.8411], [0.5827, 0.5000, 0.1653], [0.1375, 0.0000, 0.2750]]
}

***

# 10
{
  "formula": "Hg4AsS6",
  "functional": "PBE",
  "state": "optimized geometry",
  "magnetic_moment_mub_per_cell": 0.00,
  "volume_a3_per_cell": 544,
  "raw_formation_energy_ev_per_atom": -0.029,
  "final_energy_ev_per_atom": -2.813,
  "lattice_angstrom": [[-1.1354, 7.1385, -0.8047], [-1.1496, 4.1768, 5.8077], [10.9934, 5.7201, 2.3655]],
  "species": ["S", "S", "S", "S", "S", "S", "S", "S", "S", "S", "S", "S", "Hg", "Hg", "Hg", "Hg", "Hg", "Hg", "Hg", "Hg", "As", "As"],
  "fractional_positions": [[0.2593, 0.3140, 0.7198], [0.9758, 0.0372, 0.9447], [0.4180, 0.1259, 0.9777], [0.9085, 0.0230, 0.6416], [0.0136, 0.1520, 0.2638], [0.4784, 0.6259, 0.4777], [0.5707, 0.6520, 0.7638], [0.7069, 0.8140, 0.2198], [0.0423, 0.5372, 0.4447], [0.4382, 0.1454, 0.4492], [0.9672, 0.6454, 0.9492], [0.4269, 0.5230, 0.1416], [0.6710, 0.2412, 0.8064], [0.2814, 0.7412, 0.3064], [0.2799, 0.9753, 0.6491], [0.7779, 0.1492, 0.1427], [0.7652, 0.2267, 0.4560], [0.5521, 0.7267, 0.9560], [0.9302, 0.6492, 0.6427], [0.0957, 0.4753, 0.1491], [0.1133, 0.2963, 0.9032], [0.6872, 0.7963, 0.4032]]
}